1.
The following is a DFT calculation (meta-GGA SCAN) of a crystal of BeInPd2F relaxed with PBEsol.

abc: 4.135 4.940 4.940
angles: 90.00 90.00 90.00
Fractional coordinates of all 5 atoms:
Be1 0.500 0.500 0.500
F1 0.500 0.000 0.000
Pd1 0.000 0.000 0.500
Pd2 0.000 0.500 0.000
In1 0.000 0.000 0.000

Calculated values
Magnetic moment ... 0.00 μB per formula unit
Symmetry ... P4/mmm (123)
Raw formation energy ... 0.3156 eV/atom
Crystal system ... tetragonal



2.
The following is a DFT calculation (meta-GGA SCAN) of a crystal of Be2IrF relaxed with PBEsol.

abc: 3.915 3.915 3.915
angles: 60.00 60.00 60.00
Fractional coordinates of all 4 atoms:
Be1 0.250 0.250 0.250
Be2 0.750 0.750 0.750
Ir1 0.500 0.500 0.500
F1 0.000 0.000 0.000

Calculated values
Magnetic moment ... 0.06 μB per formula unit
Symmetry ... Fm-3m (225)
Raw formation energy ... 0.0001 eV/atom
Crystal system ... cubic



3.
The following is a DFT calculation (meta-GGA SCAN) of a crystal of BeIrO2F relaxed with PBEsol.

abc: 2.943 3.778 3.778
angles: 90.00 90.00 90.00
Fractional coordinates of all 5 atoms:
Be1 0.000 0.000 0.000
Ir1 0.500 0.500 0.500
O1 0.000 0.000 0.500
O2 0.000 0.500 0.000
F1 0.500 0.000 0.000

Calculated values
Magnetic moment ... 0.00 μB per formula unit
Symmetry ... P4/mmm (123)
Raw formation energy ... -0.8000 eV/atom
Crystal system ... tetragonal



4.
The following is a DFT calculation (meta-GGA SCAN) of a crystal of BeIr2PtF relaxed with PBEsol.

abc: 2.858 4.735 4.735
angles: 90.00 90.00 90.00
Fractional coordinates of all 5 atoms:
Be1 0.500 0.000 0.000
Ir1 0.000 0.000 0.500
Ir2 0.000 0.500 0.000
Pt1 0.500 0.500 0.500
F1 0.000 0.000 0.000

Calculated values
Magnetic moment ... 0.00 μB per formula unit
Symmetry ... P4/mmm (123)
Raw formation energy ... 0.3291 eV/atom
Crystal system ... tetragonal



5.
The following is a DFT calculation (meta-GGA SCAN) of a crystal of BeIr2WF relaxed with PBEsol.

abc: 2.862 4.755 4.755
angles: 90.00 90.00 90.00
Fractional coordinates of all 5 atoms:
Be1 0.500 0.000 0.000
Ir1 0.000 0.000 0.500
Ir2 0.000 0.500 0.000
W1 0.500 0.500 0.500
F1 0.000 0.000 0.000

Calculated values
Magnetic moment ... 0.00 μB per formula unit
Symmetry ... P4/mmm (123)
Raw formation energy ... 0.2164 eV/atom
Crystal system ... tetragonal



6.
The following is a DFT calculation (meta-GGA SCAN) of a crystal of KBe3F relaxed with PBEsol.

abc: 4.419 4.419 4.419
angles: 90.00 90.00 90.00
Fractional coordinates of all 5 atoms:
Be1 0.000 0.500 0.000
Be2 0.000 0.000 0.500
Be3 0.500 0.000 0.000
K1 0.500 0.500 0.500
F1 0.000 0.000 0.000

Calculated values
Magnetic moment ... 0.00 μB per formula unit
Symmetry ... Pm-3m (221)
Raw formation energy ... 0.8951 eV/atom
Crystal system ... cubic



7.
The following is a DFT calculation (meta-GGA SCAN) of a crystal of KBeF2 relaxed with PBEsol.

abc: 5.625 5.625 5.625
angles: 60.00 60.00 60.00
Fractional coordinates of all 8 atoms:
Be1 0.250 0.250 0.250
Be2 0.000 0.000 0.000
K1 0.750 0.750 0.750
K2 0.500 0.500 0.500
F1 0.125 0.125 0.625
F2 0.125 0.125 0.125
F3 0.625 0.125 0.125
F4 0.125 0.625 0.125

Calculated values
Magnetic moment ... 0.00 μB per formula unit
Symmetry ... Fd-3m (227)
Energy relative to the lowest polymorph listed for this composition ... 0.232 eV per atom
Raw formation energy ... -2.0447 eV/atom
Crystal system ... cubic



8.
The following is a DFT calculation (meta-GGA SCAN) of a crystal of KBeF2 relaxed with PBEsol.

abc: 4.022 4.022 6.069
angles: 70.65 70.65 60.00
Fractional coordinates of all 4 atoms:
Be1 0.000 0.000 0.000
K1 0.500 0.500 0.500
F1 0.913 0.913 0.262
F2 0.087 0.087 0.738

Calculated values
Magnetic moment ... 0.00 μB per formula unit
Symmetry ... R-3m (166)
Energy relative to the lowest polymorph listed for this composition ... 0.000 eV per atom
Raw formation energy ... -2.2766 eV/atom
Crystal system ... trigonal



9.
The following is a DFT calculation (meta-GGA SCAN) of a crystal of K2BeF relaxed with PBEsol.

abc: 5.303 5.303 5.303
angles: 60.00 60.00 60.00
Fractional coordinates of all 4 atoms:
Be1 0.000 0.000 0.000
K1 0.250 0.250 0.250
K2 0.750 0.750 0.750
F1 0.500 0.500 0.500

Calculated values
Magnetic moment ... 1.03 μB per formula unit
Symmetry ... Fm-3m (225)
Raw formation energy ... -0.3766 eV/atom
Crystal system ... cubic



10.
The following is a DFT calculation (meta-GGA SCAN) of a crystal of KLiBeF4 relaxed with PBEsol.

abc: 5.040 5.040 8.566
angles: 90.00 90.00 120.00
Fractional coordinates of all 14 atoms:
K1 0.000 0.000 0.002
K2 0.000 0.000 0.502
Li1 0.667 0.333 0.198
Li2 0.333 0.667 0.698
Be1 0.333 0.667 0.304
Be2 0.667 0.333 0.804
F1 0.333 0.373 0.248
F2 0.960 0.333 0.748
F3 0.333 0.667 0.486
F4 0.667 0.333 0.986
F5 0.040 0.667 0.248
F6 0.667 0.627 0.748
F7 0.373 0.040 0.748
F8 0.627 0.960 0.248

Calculated values
Magnetic moment ... 0.01 μB per formula unit
Symmetry ... P6_3 (173)
Raw formation energy ... -3.3021 eV/atom
Crystal system ... hexagonal



11.
The following is a DFT calculation (meta-GGA SCAN) of a crystal of KBeN2F relaxed with PBEsol.

abc: 4.681 5.355 5.355
angles: 90.00 90.00 90.00
Fractional coordinates of all 5 atoms:
Be1 0.500 0.500 0.500
K1 0.000 0.000 0.000
N1 0.000 0.000 0.500
N2 0.000 0.500 0.000
F1 0.500 0.000 0.000

Calculated values
Magnetic moment ... 6.00 μB per formula unit
Symmetry ... P4/mmm (123)
Raw formation energy ... 1.6305 eV/atom
Crystal system ... tetragonal



12.
The following is a DFT calculation (meta-GGA SCAN) of a crystal of K3NaBe2F8 relaxed with PBEsol.

abc: 5.585 5.585 7.149
angles: 90.00 90.00 120.00
Fractional coordinates of all 14 atoms:
K1 0.667 0.333 0.336
K2 0.333 0.667 0.664
K3 0.000 0.000 0.000
Na1 0.000 0.000 0.500
Be1 0.667 0.333 0.775
Be2 0.333 0.667 0.225
F1 0.667 0.333 0.987
F2 0.333 0.667 0.013
F3 0.817 0.634 0.691
F4 0.183 0.366 0.309
F5 0.817 0.183 0.691
F6 0.183 0.817 0.309
F7 0.366 0.183 0.691
F8 0.634 0.817 0.309

Calculated values
Magnetic moment ... 0.13 μB per formula unit
Symmetry ... P-3m1 (164)
Raw formation energy ... -3.2747 eV/atom
Crystal system ... trigonal



13.
The following is a DFT calculation (meta-GGA SCAN) of a crystal of KBeOF2 relaxed with PBEsol.

abc: 4.188 4.472 4.472
angles: 90.00 90.00 90.00
Fractional coordinates of all 5 atoms:
Be1 0.500 0.500 0.500
K1 0.000 0.000 0.000
O1 0.500 0.000 0.000
F1 0.000 0.000 0.500
F2 0.000 0.500 0.000

Calculated values
Magnetic moment ... 1.02 μB per formula unit
Symmetry ... P4/mmm (123)
Raw formation energy ... -0.0672 eV/atom
Crystal system ... tetragonal



14.
The following is a DFT calculation (meta-GGA SCAN) of a crystal of KYBeF6 relaxed with PBEsol.

abc: 5.802 6.303 6.975
angles: 112.87 90.00 90.00
Fractional coordinates of all 18 atoms:
K1 0.750 0.931 0.797
K2 0.250 0.069 0.203
Y1 0.750 0.612 0.177
Y2 0.250 0.388 0.823
Be1 0.750 0.233 0.463
Be2 0.250 0.767 0.537
F1 0.534 0.230 0.596
F2 0.466 0.770 0.404
F3 0.034 0.770 0.404
F4 0.966 0.230 0.596
F5 0.750 0.450 0.414
F6 0.250 0.550 0.586
F7 0.502 0.319 0.037
F8 0.498 0.681 0.963
F9 0.002 0.681 0.963
F10 0.998 0.319 0.037
F11 0.750 0.012 0.258
F12 0.250 0.988 0.742

Calculated values
Magnetic moment ... 0.00 μB per formula unit
Symmetry ... P2_1/m (11)
Raw formation energy ... -3.8649 eV/atom
Crystal system ... monoclinic



15.
The following is a DFT calculation (meta-GGA SCAN) of a crystal of LaBeF2 relaxed with PBEsol.

abc: 4.368 4.368 4.368
angles: 60.00 60.00 60.00
Fractional coordinates of all 4 atoms:
Be1 0.000 0.000 0.000
F1 0.250 0.250 0.250
F2 0.750 0.750 0.750
La1 0.500 0.500 0.500

Calculated values
Magnetic moment ... 0.97 μB per formula unit
Symmetry ... Fm-3m (225)
Raw formation energy ... -1.8226 eV/atom
Crystal system ... cubic



16.
The following is a DFT calculation (meta-GGA SCAN) of a crystal of LaBeOF2 relaxed with PBEsol.

abc: 4.550 4.639 4.639
angles: 90.00 90.00 90.00
Fractional coordinates of all 5 atoms:
Be1 0.500 0.500 0.500
F1 0.000 0.000 0.500
F2 0.000 0.500 0.000
O1 0.500 0.000 0.000
La1 0.000 0.000 0.000

Calculated values
Magnetic moment ... 1.00 μB per formula unit
Symmetry ... P4/mmm (123)
Raw formation energy ... -2.1081 eV/atom
Crystal system ... tetragonal



17.
The following is a DFT calculation (meta-GGA SCAN) of a crystal of LaBeO2F relaxed with PBEsol.

abc: 2.938 4.493 4.493
angles: 90.00 90.00 90.00
Fractional coordinates of all 5 atoms:
Be1 0.500 0.000 0.000
F1 0.000 0.000 0.000
O1 0.000 0.000 0.500
O2 0.000 0.500 0.000
La1 0.500 0.500 0.500

Calculated values
Magnetic moment ... 0.00 μB per formula unit
Symmetry ... P4/mmm (123)
Raw formation energy ... -1.8575 eV/atom
Crystal system ... tetragonal



18.
The following is a DFT calculation (meta-GGA SCAN) of a crystal of Li2BeF4 relaxed with PBEsol.

abc: 8.233 8.233 8.233
angles: 107.82 107.82 107.82
Fractional coordinates of all 42 atoms:
Be1 0.234 0.054 0.460
Be2 0.460 0.234 0.054
Be3 0.054 0.460 0.234
Be4 0.766 0.946 0.540
Be5 0.540 0.766 0.946
Be6 0.946 0.540 0.766
F1 0.363 0.036 0.357
F2 0.357 0.363 0.036
F3 0.036 0.357 0.363
F4 0.637 0.964 0.643
F5 0.643 0.637 0.964
F6 0.964 0.643 0.637
F7 0.243 0.931 0.572
F8 0.572 0.243 0.931
F9 0.931 0.572 0.243
F10 0.757 0.069 0.428
F11 0.428 0.757 0.069
F12 0.069 0.428 0.757
F13 0.028 0.975 0.307
F14 0.307 0.028 0.975
F15 0.975 0.307 0.028
F16 0.972 0.025 0.693
F17 0.693 0.972 0.025
F18 0.025 0.693 0.972
F19 0.311 0.266 0.602
F20 0.602 0.311 0.266
F21 0.266 0.602 0.311
F22 0.689 0.734 0.398
F23 0.398 0.689 0.734
F24 0.734 0.398 0.689
Li1 0.561 0.388 0.796
Li2 0.796 0.561 0.388
Li3 0.388 0.796 0.561
Li4 0.439 0.612 0.204
Li5 0.204 0.439 0.612
Li6 0.612 0.204 0.439
Li7 0.899 0.724 0.122
Li8 0.122 0.899 0.724
Li9 0.724 0.122 0.899
Li10 0.101 0.276 0.878
Li11 0.878 0.101 0.276
Li12 0.276 0.878 0.101

Calculated values
Magnetic moment ... 0.07 μB per formula unit
Symmetry ... R-3 (148)
Raw formation energy ... -3.3046 eV/atom
Crystal system ... trigonal



19.
The following is a DFT calculation (meta-GGA SCAN) of a crystal of LiBe2F relaxed with PBEsol.

abc: 4.140 4.140 4.140
angles: 60.00 60.00 60.00
Fractional coordinates of all 4 atoms:
Be1 0.250 0.250 0.250
Be2 0.750 0.750 0.750
F1 0.500 0.500 0.500
Li1 0.000 0.000 0.000

Calculated values
Magnetic moment ... 0.00 μB per formula unit
Symmetry ... Fm-3m (225)
Raw formation energy ... 0.5131 eV/atom
Crystal system ... cubic



20.
The following is a DFT calculation (meta-GGA SCAN) of a crystal of LiBeNF2 relaxed with PBEsol.

abc: 3.390 3.390 3.961
angles: 90.00 90.00 90.00
Fractional coordinates of all 5 atoms:
Be1 0.500 0.500 0.500
N1 0.000 0.000 0.500
Li1 0.000 0.000 0.000
F1 0.000 0.500 0.000
F2 0.500 0.000 0.000

Calculated values
Magnetic moment ... 2.00 μB per formula unit
Symmetry ... P4/mmm (123)
Raw formation energy ... -0.5131 eV/atom
Crystal system ... tetragonal